Entry 1:
# TiAg2Cl6 | Alexandria via LeMat-Bulk | GGA-PBE | relaxed
data_TiAg2Cl6
_chemical_formula_sum 'Ti2 Ag4 Cl12'
_cell_length_a 6.466
_cell_length_b 6.443
_cell_length_c 13.193
_cell_angle_alpha 90.00
_cell_angle_beta 119.30
_cell_angle_gamma 90.00
_space_group_name_H-M_alt 'P 1 21/c 1'
_space_group_IT_number 14
loop_
_space_group_symop_operation_xyz
'x,y,z'
'-x,-y,-z'
'-x,y+1/2,-z+1/2'
'x,-y+1/2,z+1/2'
loop_
_atom_site_label
_atom_site_fract_x
_atom_site_fract_y
_atom_site_fract_z
Ti1 0.000 0.000 0.000
Ag1 0.250 0.001 0.750
Cl1 0.042 0.190 0.853
Cl2 0.248 0.750 0.499
Cl3 0.336 0.186 0.149
# - E_form (uncorrected) (eV/atom) = -1.0385
# - energy above the lowest structure with this stoichiometry (meV per atom) = 0
# - crystal system = monoclinic

---

Entry 2:
# La2CoAs3Ir4 | Alexandria via LeMat-Bulk | GGA-PBE | relaxed
data_La2CoAs3Ir4
_chemical_formula_sum 'La2 Co1 As3 Ir4'
_cell_length_a 4.247
_cell_length_b 4.247
_cell_length_c 10.266
_cell_angle_alpha 90.00
_cell_angle_beta 90.00
_cell_angle_gamma 90.00
_space_group_name_H-M_alt 'P -4 m 2'
_space_group_IT_number 115
loop_
_space_group_symop_operation_xyz
'x,y,z'
'y,-x,-z'
'-x,-y,z'
'-y,x,-z'
'-x,y,z'
'-y,-x,-z'
'x,-y,z'
'y,x,-z'
loop_
_atom_site_label
_atom_site_fract_x
_atom_site_fract_y
_atom_site_fract_z
La1 0.000 0.500 0.243
Co1 0.500 0.500 0.000
As1 0.000 0.000 0.000
As2 0.000 0.500 0.639
Ir1 0.000 0.000 0.500
Ir2 0.000 0.500 0.877
Ir3 0.500 0.500 0.500
# - crystal system = tetragonal
# - energy of formation (meV/atom) = -697

---

Entry 3:
# AgBiPt | Alexandria via LeMat-Bulk | GGA-PBE | relaxed
data_AgBiPt
_chemical_formula_sum 'Ag2 Bi2 Pt2'
_cell_length_a 3.712
_cell_length_b 3.712
_cell_length_c 9.005
_cell_angle_alpha 90.00
_cell_angle_beta 90.00
_cell_angle_gamma 90.00
_space_group_name_H-M_alt 'I 4 m m'
_space_group_IT_number 107
_space_group_name_Hall 'I 4 -2'
loop_
_atom_site_label
_atom_site_fract_x
_atom_site_fract_y
_atom_site_fract_z
Ag1 0.000 0.000 0.000
Bi1 0.000 0.000 0.684
Pt1 0.000 0.000 0.333
# - energy above the lowest structure with this stoichiometry (meV per atom) = 97
# - crystal system = tetragonal
# - energy of formation (meV/atom) = -5

---

Entry 4:
# ReRhSe2 | Alexandria via LeMat-Bulk | GGA-PBE | relaxed
data_ReRhSe2
_chemical_formula_sum 'Re2 Rh2 Se4'
_cell_length_a 8.116
_cell_length_b 3.079
_cell_length_c 5.283
_cell_angle_alpha 90.00
_cell_angle_beta 100.84
_cell_angle_gamma 90.00
_space_group_name_H-M_alt 'C 1 2/m 1'
_space_group_IT_number 12
loop_
_space_group_symop_operation_xyz
'x,y,z'
'-x,-y,-z'
'-x,y,-z'
'x,-y,z'
'x+1/2,y+1/2,z'
'-x+1/2,-y+1/2,-z'
'-x+1/2,y+1/2,-z'
'x+1/2,-y+1/2,z'
loop_
_atom_site_label
_atom_site_fract_x
_atom_site_fract_y
_atom_site_fract_z
Re1 0.000 0.000 0.000
Rh1 0.000 0.500 0.500
Se1 0.229 0.500 0.238
# - E_form (uncorrected) (eV/atom) = 0.2434
# - energy above the lowest structure with this stoichiometry (meV per atom) = 212
# - crystal system = monoclinic

---

Entry 5:
# Li2Zn5Cu | Alexandria via LeMat-Bulk | GGA-PBE | relaxed
data_Li2Zn5Cu
_chemical_formula_sum 'Li4 Zn10 Cu2'
_cell_length_a 4.033
_cell_length_b 4.033
_cell_length_c 14.095
_cell_angle_alpha 90.00
_cell_angle_beta 90.00
_cell_angle_gamma 90.00
_space_group_name_H-M_alt 'I 4/m m m'
_space_group_IT_number 139
_space_group_name_Hall '-I 4 2'
loop_
_atom_site_label
_atom_site_fract_x
_atom_site_fract_y
_atom_site_fract_z
Li1 0.000 0.000 0.249
Zn1 0.000 0.000 0.500
Zn2 0.000 0.500 0.121
Cu1 0.000 0.000 0.000
# - energy above the lowest structure with this stoichiometry (meV per atom) = 17
# - crystal system = tetragonal
# - energy of formation (meV/atom) = -103

---

Entry 6:
# Tm4C2N | Alexandria via LeMat-Bulk | GGA-PBE | relaxed
data_Tm4C2N
_chemical_formula_sum 'Tm16 C8 N4'
_cell_length_a 3.485
_cell_length_b 11.557
_cell_length_c 11.603
_cell_angle_alpha 90.00
_cell_angle_beta 90.00
_cell_angle_gamma 90.00
_space_group_name_H-M_alt 'C m c m'
_space_group_IT_number 63
_space_group_name_Hall '-C 2c 2'
loop_
_atom_site_label
_atom_site_fract_x
_atom_site_fract_y
_atom_site_fract_z
Tm1 0.000 0.000 0.000
Tm2 0.000 0.272 0.117
Tm3 0.000 0.467 0.750
C1 0.000 0.363 0.567
N1 0.000 0.098 0.750
# - E_form (uncorrected) (eV/atom) = -0.5849
# - crystal system = orthorhombic

---

Entry 7:
# BaScAs2 | Alexandria via LeMat-Bulk | GGA-PBE | relaxed
data_BaScAs2
_chemical_formula_sum 'Ba1 Sc1 As2'
_cell_length_a 5.239
_cell_length_b 5.239
_cell_length_c 4.602
_cell_angle_alpha 90.00
_cell_angle_beta 90.00
_cell_angle_gamma 90.00
_space_group_name_H-M_alt 'P -4 m 2'
_space_group_IT_number 115
loop_
_space_group_symop_operation_xyz
'x,y,z'
'y,-x,-z'
'-x,-y,z'
'-y,x,-z'
'-x,y,z'
'-y,-x,-z'
'x,-y,z'
'y,x,-z'
loop_
_atom_site_label
_atom_site_fract_x
_atom_site_fract_y
_atom_site_fract_z
Ba1 0.000 0.000 0.000
Sc1 0.500 0.500 0.500
As1 0.000 0.500 0.466
# - energy above the lowest structure with this stoichiometry (meV per atom) = 177
# - crystal system = tetragonal
# - energy of formation (meV/atom) = -855

---

Entry 8:
# Al4ZnPd5 | Alexandria via LeMat-Bulk | GGA-PBE | relaxed
data_Al4ZnPd5
_chemical_formula_sum 'Al4 Zn1 Pd5'
_cell_length_a 3.054
_cell_length_b 3.054
_cell_length_c 15.570
_cell_angle_alpha 90.00
_cell_angle_beta 90.00
_cell_angle_gamma 90.00
_space_group_name_H-M_alt 'P 4/m m m'
_space_group_IT_number 123
_space_group_name_Hall '-P 4 2'
loop_
_atom_site_label
_atom_site_fract_x
_atom_site_fract_y
_atom_site_fract_z
Al1 0.000 0.000 0.099
Al2 0.000 0.000 0.299
Zn1 0.000 0.000 0.500
Pd1 0.500 0.500 0.000
Pd2 0.500 0.500 0.199
Pd3 0.500 0.500 0.395
# - crystal system = tetragonal
# - energy of formation (meV/atom) = -815

---

Number 1: energy -3.780 eV/atom. Number 2: energy -7.332 eV/atom. Number 3: energy -4.263 eV/atom. Number 4: energy -6.449 eV/atom. Number 5: energy -1.890 eV/atom. Number 6: energy -6.965 eV/atom. Number 7: energy -5.243 eV/atom. Number 8: energy -5.036 eV/atom.